Entry 1:
A plane-wave DFT calculation with PBE was carried out for an optimized crystal structure of BaSrMg2.

Calculated values
DFT formation energy	137	meV/atom
volume	165.11	Å³ per cell
symmetry	R-3m, No. 166
ΔE to the lowest computed polymorph	0.79	eV per formula unit

a = 11.6212 Å, b = 11.6212 Å, c = 11.6212 Å
α = 20.29°, β = 20.29°, γ = 20.29°
Fractional positions:
Ba: 0.7500 0.7500 0.7500
Mg: 0.9981 0.9981 0.9981
Mg: 0.5019 0.5019 0.5019
Sr: 0.2500 0.2500 0.2500



Entry 2:
A plane-wave DFT calculation with PBE was carried out for an optimized crystal structure of BaHg2Pt.

Calculated values
DFT formation energy	-286	meV/atom
volume	259.91	Å³ per cell
symmetry	I-42d, No. 122

a = 5.1797 Å, b = 5.1797 Å, c = 10.3569 Å
α = 75.52°, β = 75.52°, γ = 90.00°
Fractional positions:
Hg: 0.7649 0.1250 0.2500
Hg: 0.9851 0.6250 0.2500
Hg: 0.3750 0.2351 0.7500
Hg: 0.8750 0.0149 0.7500
Pt: 0.0000 0.0000 0.0000
Pt: 0.7500 0.2500 0.5000
Ba: 0.5000 0.5000 0.0000
Ba: 0.2500 0.7500 0.5000



Entry 3:
A plane-wave DFT calculation with PBE was carried out for an optimized crystal structure of CaZnS2Cl.

Calculated values
volume	151.97	Å³ per cell
symmetry	P4/mmm, No. 123
ΔE to the lowest computed polymorph	3.36	eV per formula unit

a = 5.4175 Å, b = 5.4175 Å, c = 5.1779 Å
α = 90.00°, β = 90.00°, γ = 90.00°
Last column: magnetic moment on the atom in μB.
Fractional positions:
S: 0.0000 0.5000 0.0000  0.53
S: 0.5000 0.0000 0.0000  0.53
Zn: 0.5000 0.5000 0.5000  -0.01
Ca: 0.0000 0.0000 0.0000  -0.01
Cl: 0.0000 0.0000 0.5000  0.07



Which of these has the highest volume?
BaHg2Pt



Which value of volume does entry 3 give?
151.97 Å³ per cell



Which of these has the highest volume?
BaHg2Pt